1.
Density functional theory data (PBE) for a geometry-optimized SrLaRu2O6 structure.

Raw total energy = -7.449 eV per atom
Total magnetization = 3.005 μB per formula unit
Volume = 254 Å³/cell
Raw formation energy = -1958 meV/atom

```
SrLaRu2O6
1.0
-1.9431 -1.2206 5.2365
4.1603 -3.6677 0.6888
4.5686 5.7523 3.0361
La O Ru Sr
2 12 4 2
Cartesian
1.7536 2.4612 3.1028 La
0.7758 -2.7348 4.0141 La
1.4995 -0.0447 3.9066 O
1.2329 -1.8851 1.7164 O
2.0816 0.9004 1.2768 O
3.3443 -2.2694 3.5936 O
6.0132 1.0910 5.3673 O
3.9651 3.2719 2.5285 O
4.7117 -1.3993 5.9659 O
2.0015 -2.5436 6.0971 O
4.2837 0.4198 3.1633 O
3.3992 2.3471 5.1690 O
4.6866 0.8371 7.8815 O
-1.1051 -1.2658 4.0610 O
2.7377 -0.7011 2.4075 Ru
1.9669 3.3964 6.2085 Ru
5.0235 2.1770 3.9266 Ru
-0.3158 0.5223 4.6915 Ru
3.7270 -3.8817 1.7462 Sr
2.7776 0.1036 6.0287 Sr
```

2.
Density functional theory data (PBE) for a geometry-optimized Sr3La3Zn2RuO12 structure.

Raw total energy = -6.792 eV per atom
Total magnetization = 3.008 μB per formula unit
Volume = 301 Å³/cell
Raw formation energy = -2451 meV/atom

```
Sr3La3Zn2RuO12
1.0
6.9565 0.0054 -0.0071
4.7020 5.1269 -0.0071
5.7919 2.5497 8.4385
O Sr Zn Ru La
12 3 2 1 3
Cartesian
11.2706 6.5361 7.0261 O
1.8795 0.8274 0.2640 O
11.0343 6.3994 4.2512 O
3.7051 1.6310 2.8658 O
12.1715 3.8162 4.2512 O
15.6316 6.8813 8.1616 O
13.7933 6.0720 5.3115 O
5.1829 3.8393 1.3524 O
12.4318 3.8981 7.0261 O
6.3317 1.2296 1.3524 O
7.8012 3.4342 2.9368 O
9.5409 4.2000 5.7883 O
10.0200 4.4109 2.8622 Sr
7.5002 3.3017 0.0957 Sr
4.1331 1.8195 -0.0049 Sr
11.5030 5.0638 5.6455 Zn
5.7041 2.5110 2.7992 Zn
5.8293 2.5661 8.4264 Ru
13.2670 5.8403 2.9075 La
7.4284 3.2701 5.4045 La
4.1740 1.8375 5.5131 La
```

3.
Density functional theory data (PBE) for a geometry-optimized SrLaZnRuO6 structure.

Raw total energy = -6.792 eV per atom
Total magnetization = 3.001 μB per formula unit
Volume = 257 Å³/cell
Raw formation energy = -2101 meV/atom

```
SrLaZnRuO6
1.0
5.7317 0.0000 0.0000
0.0000 5.6293 0.0047
0.0000 5.6128 7.9667
O Sr Ru Zn La
12 2 2 2 2
Cartesian
3.1147 4.3643 4.2814 O
0.3046 9.6300 7.6226 O
4.3946 3.3067 2.0514 O
1.3371 6.1131 6.0348 O
3.0033 10.0807 7.6367 O
5.4271 6.8237 3.6393 O
2.7284 7.2743 3.6533 O
2.6171 1.5579 0.2981 O
0.2150 3.8898 4.3408 O
5.5168 1.0834 0.3575 O
1.5759 5.2321 1.9354 O
4.1558 8.0385 5.9187 O
4.5274 5.5772 5.9796 Sr
1.2044 2.7708 1.9963 Sr
4.3063 2.8089 3.9841 Ru
1.4254 0.0025 0.0008 Ru
4.3413 2.8199 0.0105 Zn
1.3904 5.6263 3.9939 Zn
1.7170 8.4926 5.9951 La
4.0147 5.6862 2.0118 La
```

4.
Density functional theory data (PBE) for a geometry-optimized LaTb2RuO8 structure.

Raw total energy = -7.640 eV per atom
Total magnetization = 1.037 μB per formula unit
Volume = 180 Å³/cell
Raw formation energy = -2379 meV/atom

```
LaTb2RuO8
1.0
-1.9915 4.6785 -0.2639
-4.6786 -1.9328 0.5305
0.5290 0.6148 6.9067
O Tb Ru La
8 2 1 1
Cartesian
-4.2995 2.1811 3.6362 O
-2.3871 3.5788 1.2648 O
-1.8417 1.1794 3.5371 O
-1.7664 0.7321 0.0702 O
-2.0699 3.9477 5.4087 O
-3.7541 -0.2183 5.9085 O
-4.0713 -0.5872 1.7647 O
-4.3748 2.6284 7.1031 O
-2.9378 1.8345 5.3192 Tb
-3.2033 1.5261 1.8541 Tb
0.0000 0.0000 0.0000 Ru
0.2645 0.3074 3.4533 La
```

5.
Density functional theory data (PBE) for a geometry-optimized LaTiRuO6 structure.

Raw total energy = -7.957 eV per atom
Total magnetization = 2.910 μB per formula unit
Volume = 234 Å³/cell
Raw formation energy = -2196 meV/atom

```
LaTiRuO6
1.0
4.9010 0.0000 0.0000
0.0000 4.9010 0.0000
0.0000 0.0000 9.7220
O La Ti Ru
12 2 2 2
Cartesian
4.0794 0.8216 4.8764 O
1.3987 1.3987 2.9629 O
3.2721 3.2721 0.0154 O
1.0517 3.8492 7.8239 O
1.6289 1.6289 0.0154 O
1.0554 3.8456 1.8940 O
3.8492 1.0517 7.8239 O
3.5022 3.5022 2.9629 O
3.5058 3.5058 6.7550 O
1.3951 1.3951 6.7550 O
3.8456 1.0554 1.8940 O
0.8216 4.0794 4.8764 O
0.0000 0.0000 9.6968 La
2.4505 2.4505 4.8358 La
2.4505 2.4505 8.0899 Ti
0.0000 0.0000 3.2289 Ti
2.4505 2.4505 1.6347 Ru
0.0000 0.0000 6.4957 Ru
```

6.
Density functional theory data (PBE) for a geometry-optimized La2TlRuO8 structure.

Raw total energy = -6.882 eV per atom
Total magnetization = 1.048 μB per formula unit
Volume = 179 Å³/cell
Raw formation energy = -1785 meV/atom

```
La2TlRuO8
1.0
-1.0376 -2.9324 3.5157
4.9784 0.0342 0.9770
-0.7451 5.5867 5.0210
O Tl La Ru
8 1 2 1
Cartesian
3.6420 3.7941 5.6073 O
2.3506 3.2920 7.9692 O
0.8451 -0.6036 1.5447 O
2.2992 0.8774 5.7904 O
0.8965 1.8110 3.7234 O
3.3974 0.5285 1.9877 O
-0.4463 -1.1057 3.9065 O
-0.2016 2.1599 7.5261 O
-0.3725 2.7933 2.5105 Tl
1.8648 -0.3985 3.7937 La
1.3310 3.0869 5.7201 La
0.0000 0.0000 0.0000 Ru
```

7.
Density functional theory data (PBE) for a geometry-optimized LaTl2RuO6 structure.

Raw total energy = -6.211 eV per atom
Total magnetization = 0.531 μB per formula unit
Volume = 350 Å³/cell
Raw formation energy = -1342 meV/atom

```
LaTl2RuO6
1.0
-5.4366 -1.6987 -1.9183
-3.7159 -2.9268 3.7079
-7.3121 8.2184 4.0303
O La Tl Ru
12 2 4 2
Cartesian
-5.2270 -2.0517 2.8842 O
-10.3085 4.9814 5.9736 O
-8.3020 6.5618 3.9715 O
-6.1562 -1.3886 -0.1537 O
-8.0958 0.1895 3.9460 O
-8.1627 -2.9690 1.8484 O
-10.0225 2.1008 3.5239 O
-6.4422 1.4920 2.2960 O
-8.8616 0.7360 1.4423 O
-7.6031 2.8568 4.3776 O
-11.2376 5.6445 2.9357 O
-8.3689 3.4033 1.8739 O
-9.4116 4.4974 3.8602 La
-7.0531 -0.9046 1.9597 La
-5.3340 3.6876 2.4363 Tl
-11.1307 -0.0948 3.3836 Tl
-3.4351 -0.6617 0.9062 Tl
-13.0295 4.2545 4.9137 Tl
-8.2323 1.7964 2.9100 Ru
0.0000 0.0000 0.0000 Ru
```

8.
Density functional theory data (PBE) for a geometry-optimized La2TlRuO5 structure.

Raw total energy = -7.295 eV per atom
Total magnetization = 3.000 μB per formula unit
Volume = 293 Å³/cell
Raw formation energy = -2152 meV/atom

```
La2TlRuO5
1.0
-5.6377 -0.3828 -1.6429
-1.2088 -4.5986 5.2197
-1.6234 5.3381 4.3269
O Ru Tl La
10 2 2 4
Cartesian
-4.8865 -1.2945 1.2616 O
-5.8805 -2.3128 4.9099 O
-4.2350 0.1784 3.9519 O
-3.5834 1.6513 6.6421 O
-5.4081 2.4781 2.1725 O
-2.0678 -1.1031 2.0830 O
-3.0618 -2.1214 5.7313 O
-2.5894 2.6695 2.9939 O
-6.4021 1.4599 5.8207 O
-2.8189 -0.1914 -0.8214 O
-0.8117 2.6691 2.1635 Ru
-0.6044 -2.2993 2.6099 Ru
0.0000 0.0000 0.0000 Tl
-1.4161 0.3698 4.7733 Tl
-3.9351 -2.3570 3.5138 La
-3.5556 0.6818 1.5034 La
-4.5348 2.7138 4.3900 La
-4.9143 -0.3251 6.4004 La
```

9.
Density functional theory data (PBE) for a geometry-optimized LaTlRuO6 structure.

Raw total energy = -6.499 eV per atom
Total magnetization = 0.122 μB per formula unit
Volume = 133 Å³/cell
Raw formation energy = -1352 meV/atom

```
LaTlRuO6
1.0
-0.3089 5.5057 1.5708
-4.6652 3.0834 -1.2645
-1.9331 -1.2648 4.0549
La Ru O Tl
1 1 6 1
Cartesian
-4.2829 5.0937 2.2320 La
-2.6246 2.2307 2.1293 Ru
-4.2814 1.2429 2.2931 O
-2.1019 0.9973 0.7318 O
-1.7734 1.0908 3.4420 O
-0.9483 3.1846 1.9644 O
-3.1825 3.4659 3.5110 O
-3.4597 3.4011 0.8339 O
-0.0002 0.0001 0.0002 Tl
```

10.
Density functional theory data (PBE) for a geometry-optimized La3SO structure.

Raw total energy = -6.231 eV per atom
Total magnetization = 0.000 μB per formula unit
ΔE to the lowest computed polymorph = 0.0 kJ/mol of atoms
Volume = 118 Å³/cell
Raw formation energy = -1457 meV/atom

```
La3SO
1.0
4.9009 0.0000 0.0000
0.0000 4.9009 0.0000
0.0000 0.0000 4.9009
La S O
3 1 1
Cartesian
2.4505 0.0000 0.0000 La
0.0000 2.4505 0.0000 La
0.0000 0.0000 2.4505 La
2.4505 2.4505 2.4505 S
0.0000 0.0000 0.0000 O
```

11.
Density functional theory data (PBE) for a geometry-optimized La2S2O structure.

Raw total energy = -7.303 eV per atom
Total magnetization = 0.000 μB per formula unit
ΔE to the lowest computed polymorph = 0.6 kJ/mol of atoms
Volume = 468 Å³/cell
Raw formation energy = -2690 meV/atom

```
La2S2O
1.0
-1.6116 -1.5082 -3.4323
6.4923 -1.9902 -2.1738
-1.9622 -14.2429 7.1797
La S O
8 8 4
Cartesian
2.2909 -12.1799 0.6376 La
3.3739 -5.0897 -2.9864 La
0.0702 -2.1043 -2.7470 La
2.8483 -15.6369 4.3207 La
3.2947 -8.3516 0.9099 La
-0.3762 -9.3897 0.6638 La
-0.4555 -12.6516 4.5601 La
0.6276 -5.5614 0.9361 La
2.7266 -2.9087 -1.2150 S
4.8093 -10.9694 1.3490 S
3.3888 -14.7970 1.2720 S
-0.4703 -2.9443 0.3016 S
-1.8908 -6.7719 0.2246 S
1.6731 -6.8489 -1.4149 S
0.1919 -14.8325 2.7887 S
1.2454 -10.8924 2.9885 S
4.3509 -3.3219 -4.2219 O
-1.4324 -14.4193 5.7956 O
1.0581 -7.7606 1.7004 O
1.8604 -9.9807 -0.1267 O
```

12.
Density functional theory data (PBE) for a geometry-optimized La4S5O structure.

Raw total energy = -6.762 eV per atom
Total magnetization = 0.000 μB per formula unit
Volume = 267 Å³/cell
Raw formation energy = -2231 meV/atom

```
La4S5O
1.0
-0.9219 -3.3357 1.9580
-3.4505 -2.7057 -6.2343
9.7618 -0.6083 -0.4772
O La S
1 4 5
Cartesian
-0.4610 -1.6678 0.9790 O
2.5363 -3.3944 -4.5886 La
6.1714 -6.0363 -3.3403 La
2.8530 -3.2552 -0.1649 La
-0.7821 -0.6133 -1.4132 La
3.7491 -4.8254 -2.4180 S
-2.1862 -3.0207 -2.1381 S
-0.1657 -3.2402 -5.5982 S
1.6402 -1.8242 -2.3355 S
5.5551 -3.4094 0.8447 S
```

13.
Density functional theory data (PBE) for a geometry-optimized LaSO structure.

Raw total energy = -7.288 eV per atom
Total magnetization = 0.000 μB per formula unit
Volume = 249 Å³/cell
Raw formation energy = -2617 meV/atom

```
LaSO
1.0
-2.4291 5.2031 0.1483
-3.2913 -1.6621 4.4045
4.0996 4.8964 4.9112
S La O
4 4 4
Cartesian
0.4929 6.3586 6.5133 S
-2.1137 2.0788 2.9506 S
-4.9739 3.8494 5.2269 S
3.3531 4.5881 4.2370 S
-2.1816 5.0793 7.7776 La
0.5608 3.3582 1.6863 La
0.6786 3.3088 5.5013 La
-2.2994 5.1287 3.9627 La
-0.4183 1.2020 5.7583 O
-1.2025 7.2354 3.7056 O
-1.6338 3.8031 5.8337 O
0.0130 4.6344 3.6303 O
```

14.
Density functional theory data (PBE) for a geometry-optimized La3S2O2 structure.

Raw total energy = -7.352 eV per atom
Total magnetization = 0.739 μB per formula unit
ΔE to the lowest computed polymorph = 13.4 kJ/mol of atoms
Volume = 320 Å³/cell
Raw formation energy = -2644 meV/atom

```
La3S2O2
1.0
-3.9445 -3.1201 5.2792
5.5685 1.2195 4.8814
-4.1468 3.7496 3.7938
La O S
6 4 4
Cartesian
-1.1289 -0.2671 8.3958 La
2.3998 1.6338 7.1206 La
-1.3939 2.1161 5.5586 La
0.8120 -0.9503 5.0803 La
-4.9226 0.2152 6.8338 La
0.0000 0.0000 0.0000 La
0.2061 0.7297 6.6820 O
-0.2658 -0.5018 10.6367 O
-2.2569 2.3508 3.3176 O
-2.7289 1.1193 7.2723 O
-0.4288 2.8234 9.4031 S
-2.0940 -0.9745 4.5513 S
0.8102 0.7897 2.7286 S
-3.3329 1.0593 11.2257 S
```

15.
Density functional theory data (PBE) for a geometry-optimized La3SO3 structure.

Raw total energy = -7.900 eV per atom
Total magnetization = 0.000 μB per formula unit
Volume = 296 Å³/cell
Raw formation energy = -3073 meV/atom

```
La3SO3
1.0
-4.4927 -0.1290 -5.3991
-2.6520 -6.1157 -2.2174
-7.6867 -1.3755 1.8587
S O La
2 6 6
Cartesian
-12.4490 -5.5387 -3.2196 S
-2.3823 -2.0815 -2.5382 S
-5.8465 -1.8559 -2.7222 O
-8.2234 -3.9585 -5.2520 O
-6.6080 -3.6616 -0.5058 O
-8.7292 -1.7282 -3.3752 O
-6.1022 -5.8920 -2.3826 O
-8.9849 -5.7643 -3.0356 O
-7.1293 -6.0070 -4.5874 La
-7.7021 -1.6132 -1.1704 La
-6.8606 -1.9695 -4.9115 La
-7.9708 -5.6506 -0.8462 La
-10.0849 -3.6992 -3.7099 La
-4.7465 -3.9210 -2.0478 La
```

16.
Density functional theory data (PBE) for a geometry-optimized LaSO2 structure.

Raw total energy = -6.133 eV per atom
Total magnetization = 0.001 μB per formula unit
ΔE to the lowest computed polymorph = 53.0 kJ/mol of atoms
Volume = 58 Å³/cell
Raw formation energy = -1390 meV/atom

```
LaSO2
1.0
-4.4169 0.1590 -0.7019
-2.4341 -3.5054 -1.3469
-3.0069 -2.0810 2.5797
O La S
2 1 1
Cartesian
-2.1554 -1.1867 0.1161 O
-7.7025 -4.2407 0.4148 O
0.0000 0.0000 0.0000 La
-4.9289 -2.7137 0.2654 S
```